## Ti3Mn2CrP6O24 (PBE+U)

Data for a relaxed Ti3Mn2CrP6O24 crystal.

Unit cell a=8.653 b=8.653 c=8.653 alpha=59.97 beta=59.97 gamma=59.97
Fractional positions:
Ti 0.646 0.646 0.646
Ti 0.354 0.354 0.354
Ti 0.145 0.145 0.145
Mn 0.499 0.499 0.499
Mn 0.000 0.000 0.000
Cr 0.858 0.858 0.858
P 0.750 0.043 0.461
P 0.956 0.543 0.249
P 0.543 0.249 0.956
P 0.461 0.750 0.043
P 0.043 0.461 0.750
P 0.249 0.956 0.543
O 0.914 0.055 0.266
O 0.806 0.009 0.618
O 0.736 0.087 0.943
O 0.998 0.383 0.188
O 0.882 0.502 0.688
O 0.586 0.237 0.437
O 0.763 0.558 0.414
O 0.943 0.736 0.087
O 0.498 0.313 0.115
O 0.313 0.115 0.498
O 0.383 0.188 0.998
O 0.558 0.414 0.763
O 0.437 0.586 0.237
O 0.688 0.882 0.502
O 0.618 0.806 0.009
O 0.502 0.688 0.882
O 0.055 0.266 0.914
O 0.237 0.437 0.586
O 0.414 0.763 0.558
O 0.115 0.498 0.313
O 0.009 0.618 0.806
O 0.266 0.914 0.055
O 0.188 0.998 0.383
O 0.087 0.943 0.736

Computed properties:
- magnetization (μB/cell) = 14.02
- space-group type = R3, No. 146
- D(E_F) (states/eV/atom) = 0.150
- DFT total energy (Ha/atom) = -0.2896